# 1
Below is TlCd3In3 after structural relaxation, with properties calculated at the PBE-GGA level.

Cell and atoms, written as extended XYZ:
```
14
Lattice="1.884 -4.706 6.877 3.639 -7.672 -0.941 7.154 -1.637 2.226" Properties=species:S:1:pos:R:3 pbc="T T T"
In 4.140 -5.147 2.132
In 8.537 -8.868 6.030
In 6.196 -3.815 5.452
In 6.480 -10.200 2.710
In 7.763 -6.709 0.923
In 4.913 -7.306 7.239
Cd 5.834 -10.161 5.884
Cd 3.483 -5.091 5.357
Cd 5.038 -7.953 0.785
Cd 6.842 -3.854 2.278
Cd 9.193 -8.924 2.806
Cd 7.639 -6.061 7.378
Tl 7.871 -6.289 4.153
Tl 4.805 -7.726 4.010
```

Energy above the lowest structure with this stoichiometry, kJ/mol of formula units: 0
Mass density, Mg/m³: 7.9
DFT total energy, eV/atom: -1.85

# 2
Below is TlCd12In6 after structural relaxation, with properties calculated at the PBE-GGA level.

Cell and atoms, written as extended XYZ:
```
19
Lattice="-6.396 4.954 -0.135 -2.846 -8.049 1.121 -4.143 -0.739 7.512" Properties=species:S:1:pos:R:3 pbc="T T T"
Cd -9.492 1.117 6.911
Cd -5.523 -2.540 5.161
Cd -6.550 0.541 5.645
Cd -1.931 -2.515 0.790
Cd -6.836 -4.374 2.852
Cd -3.893 -4.950 1.586
Cd -3.528 -0.075 4.372
Cd -9.857 -3.758 4.125
Cd -11.455 -1.318 7.707
Cd -10.396 -4.446 7.232
Cd -7.862 -1.293 3.337
Cd -2.989 0.612 1.265
In -8.918 1.814 3.826
In -7.454 -5.062 6.006
In -8.442 -1.920 6.453
In -4.468 -5.648 4.671
In -4.943 -1.913 2.044
In -5.932 1.228 2.491
Tl 0.000 0.000 0.000
```

Energy above the lowest structure with this stoichiometry, kJ/mol of formula units: 0
Mass density, Mg/m³: 7.9
DFT total energy, eV/atom: -1.54

# 3
Below is Tl4Cd3In after structural relaxation, with properties calculated at the PBE-GGA level.

Cell and atoms, written as extended XYZ:
```
16
Lattice="6.895 0.000 0.000 0.000 6.647 0.000 0.000 0.000 9.685" Properties=species:S:1:pos:R:3 pbc="T T T"
Cd 3.447 2.084 9.671
Cd 0.000 5.407 0.014
Cd 5.193 0.428 7.293
Cd 5.150 3.751 2.391
Cd 1.745 3.751 2.391
Cd 1.702 0.428 7.293
Tl 1.718 3.748 7.282
Tl 5.165 0.424 2.403
Tl 0.000 2.099 4.825
Tl 3.447 5.417 9.670
Tl 5.177 3.748 7.282
Tl 3.447 5.423 4.860
Tl 0.000 2.094 0.015
Tl 1.730 0.424 2.403
In 3.447 2.090 4.852
In 0.000 5.414 4.832
```

Mass density, Mg/m³: 9.5
DFT total energy, eV/atom: -1.81

# 4
Below is Tl8Cd2In after structural relaxation, with properties calculated at the PBE-GGA level.

Cell and atoms, written as extended XYZ:
```
11
Lattice="-0.896 3.611 -3.100 6.560 -3.129 -5.541 -7.835 -4.453 0.776" Properties=species:S:1:pos:R:3 pbc="T T T"
Tl -0.687 -2.718 -6.816
Tl -4.227 -2.991 -6.129
Tl -1.950 -3.560 -3.638
Tl -1.484 -1.253 -1.049
Tl 2.055 -0.980 -1.736
Tl -4.857 -2.174 -1.183
Tl -0.221 -0.411 -4.227
Tl 2.686 -1.797 -6.682
Cd 1.324 -3.202 -4.162
Cd -3.495 -0.769 -3.703
In -0.448 1.805 -1.550
```

Energy above the lowest structure with this stoichiometry, kJ/mol of formula units: 0
Mass density, Mg/m³: 10.0
DFT total energy, eV/atom: -2.08

# 5
Below is Tl6Cd5In after structural relaxation, with properties calculated at the PBE-GGA level.

Cell and atoms, written as extended XYZ:
```
12
Lattice="0.444 4.311 2.394 -3.362 2.175 -8.331 -5.563 -5.158 5.282" Properties=species:S:1:pos:R:3 pbc="T T T"
Cd -4.979 -1.797 4.241
Cd -4.083 -0.227 -3.871
Cd -3.502 3.125 -4.897
Cd -4.842 -2.755 0.822
Cd -4.241 0.664 -0.328
Tl -5.939 2.211 -2.766
Tl -6.676 -0.242 1.788
Tl -1.805 1.570 -2.443
Tl -1.983 2.501 1.026
Tl -6.498 -1.173 -1.682
Tl -2.542 -0.883 2.111
In 0.000 0.000 0.000
```

Mass density, Mg/m³: 9.5
DFT total energy, eV/atom: -1.74

# 6
Below is Tl2CdIn after structural relaxation, with properties calculated at the PBE-GGA level.

Cell and atoms, written as extended XYZ:
```
4
Lattice="0.000 3.837 3.837 3.837 0.000 3.837 3.837 3.837 0.000" Properties=species:S:1:pos:R:3 pbc="T T T"
Cd 0.000 0.000 0.000
Tl 5.756 5.756 5.756
Tl 1.919 1.919 1.919
In 3.837 3.837 3.837
```

Energy above the lowest structure with this stoichiometry, kJ/mol of formula units: 12
Mass density, Mg/m³: 9.3
DFT total energy, eV/atom: -2.05